An optimized crystal structure of DyHoScZn, computed with GGA-PBE.

Geometry as CIF:
```
data_DyHoScZn
_space_group_name_H-M_alt 'P 1'
_space_group_IT_number 1
_cell_length_a 5.1977
_cell_length_b 5.1977
_cell_length_c 5.1977
_cell_angle_alpha 60.00
_cell_angle_beta 60.00
_cell_angle_gamma 60.00
loop_
_space_group_symop_operation_xyz
'x,y,z'
loop_
_atom_site_label
_atom_site_fract_x
_atom_site_fract_y
_atom_site_fract_z
_atom_site_occupancy
Sc1 0.5000 0.5000 0.5000 1
Zn1 0.0000 0.0000 0.0000 1
Ho1 0.7500 0.7500 0.7500 1
Dy1 0.2500 0.2500 0.2500 1
```

- ΔE to the lowest computed polymorph: 135.3 meV/atom



An optimized crystal structure of Dy2Ho6ZrSc3, computed with GGA-PBE.

Geometry as CIF:
```
data_Dy2Ho6ZrSc3
_space_group_name_H-M_alt 'P 1'
_space_group_IT_number 1
_cell_length_a 5.9535
_cell_length_b 5.9535
_cell_length_c 11.3005
_cell_angle_alpha 95.02
_cell_angle_beta 95.02
_cell_angle_gamma 119.91
loop_
_space_group_symop_operation_xyz
'x,y,z'
loop_
_atom_site_label
_atom_site_fract_x
_atom_site_fract_y
_atom_site_fract_z
_atom_site_occupancy
Ho1 0.5870 0.9149 0.7460 1
Ho2 0.2427 0.2427 0.7471 1
Ho3 0.4130 0.0851 0.2540 1
Sc1 0.5000 0.5000 0.5000 1
Ho4 0.9149 0.5870 0.7460 1
Ho5 0.0851 0.4130 0.2540 1
Sc2 0.1667 0.8333 0.5000 1
Dy1 0.3330 0.6670 0.0000 1
Dy2 0.6670 0.3330 0.0000 1
Ho6 0.7573 0.7573 0.2529 1
Zr1 0.0000 0.0000 0.0000 1
Sc3 0.8333 0.1667 0.5000 1
```



Number 1: formation enthalpy at 0 K -3 kJ/mol of formula units, energy -4.204 eV/atom. Number 2: formation enthalpy at 0 K 73 kJ/mol of formula units, energy -5.288 eV/atom.